Record 1
Fe8Si | meta-GGA SCAN | PBEsol geometry Values from VASP.

## Properties
As for the space group: No. 139.

Cell and atoms, written as Quantum ESPRESSO input:
```
&SYSTEM
  ibrav = 0, nat = 9, ntyp = 2
/
ATOMIC_SPECIES
Fe 55.84 Fe.upf
Si 28.09 Si.upf
CELL_PARAMETERS angstrom
-3.634 3.634 1.719
3.634 -3.634 1.719
3.634 3.634 -1.719
ATOMIC_POSITIONS crystal
Fe 0.000 0.341 0.341
Fe 0.000 0.659 0.659
Fe 0.327 0.327 0.654
Fe 0.327 0.673 0.000
Fe 0.341 0.000 0.341
Fe 0.659 0.000 0.659
Fe 0.673 0.327 0.000
Fe 0.673 0.673 0.346
Si 0.000 0.000 0.000
```


Record 2
FeSi2 | meta-GGA SCAN | PBEsol geometry Values from VASP.

## Properties
As for the space group: No. 123.

Cell and atoms, written as Quantum ESPRESSO input:
```
&SYSTEM
  ibrav = 0, nat = 3, ntyp = 2
/
ATOMIC_SPECIES
Fe 55.84 Fe.upf
Si 28.09 Si.upf
CELL_PARAMETERS angstrom
2.676 0.000 0.000
0.000 2.676 0.000
0.000 0.000 5.103
ATOMIC_POSITIONS crystal
Fe 0.000 0.000 0.000
Si 0.500 0.500 0.272
Si 0.500 0.500 0.728
```


Record 3
Fe2Si3 | meta-GGA SCAN | PBEsol geometry Values from VASP.

## Properties
As for the space group: No. 164.

Cell and atoms, written as Quantum ESPRESSO input:
```
&SYSTEM
  ibrav = 0, nat = 5, ntyp = 2
/
ATOMIC_SPECIES
Fe 55.84 Fe.upf
Si 28.09 Si.upf
CELL_PARAMETERS angstrom
3.804 0.000 0.000
-1.902 3.295 0.000
0.000 0.000 4.636
ATOMIC_POSITIONS crystal
Fe 0.333 0.667 0.349
Fe 0.667 0.333 0.651
Si 0.000 0.000 0.500
Si 0.333 0.667 0.859
Si 0.667 0.333 0.141
```


Record 4
Fe2Si | meta-GGA SCAN | PBEsol geometry Values from VASP.

## Properties
As for the space group: No. 63.

Cell and atoms, written as Quantum ESPRESSO input:
```
&SYSTEM
  ibrav = 0, nat = 12, ntyp = 2
/
ATOMIC_SPECIES
Fe 55.84 Fe.upf
Si 28.09 Si.upf
CELL_PARAMETERS angstrom
2.749 0.000 0.000
0.000 11.811 0.000
0.000 0.000 3.843
ATOMIC_POSITIONS crystal
Fe 0.000 0.081 0.250
Fe 0.000 0.248 0.750
Fe 0.000 0.752 0.250
Fe 0.000 0.919 0.750
Fe 0.500 0.252 0.250
Fe 0.500 0.419 0.750
Fe 0.500 0.581 0.250
Fe 0.500 0.748 0.750
Si 0.000 0.416 0.250
Si 0.000 0.584 0.750
Si 0.500 0.084 0.750
Si 0.500 0.916 0.250
```


Record 5
Fe2Si | meta-GGA SCAN | PBEsol geometry Values from VASP.

## Properties
As for the space group: No. 139.

Cell and atoms, written as Quantum ESPRESSO input:
```
&SYSTEM
  ibrav = 0, nat = 6, ntyp = 2
/
ATOMIC_SPECIES
Fe 55.84 Fe.upf
Si 28.09 Si.upf
CELL_PARAMETERS angstrom
2.661 0.000 0.000
0.000 2.661 0.000
0.000 0.000 8.777
ATOMIC_POSITIONS crystal
Fe 0.000 0.000 0.161
Fe 0.000 0.000 0.839
Fe 0.500 0.500 0.339
Fe 0.500 0.500 0.661
Si 0.000 0.000 0.500
Si 0.500 0.500 0.000
```


Record 6
Fe2Si | meta-GGA SCAN | PBEsol geometry Values from VASP.

## Properties
As for the space group: No. 164.

Cell and atoms, written as Quantum ESPRESSO input:
```
&SYSTEM
  ibrav = 0, nat = 6, ntyp = 2
/
ATOMIC_SPECIES
Fe 55.84 Fe.upf
Si 28.09 Si.upf
CELL_PARAMETERS angstrom
3.879 0.000 0.000
-1.939 3.359 0.000
0.000 0.000 4.771
ATOMIC_POSITIONS crystal
Fe 0.000 0.000 0.000
Fe 0.000 0.000 0.500
Fe 0.333 0.667 0.177
Fe 0.667 0.333 0.823
Si 0.333 0.667 0.680
Si 0.667 0.333 0.320
```


Respective energy relative to the elements, uncorrected values: 0.158; -0.312; -0.268; -0.253; -0.157; -0.361 eV per atom.